Below is crystalline GeBiSe2Br at its relaxed geometry, with properties calculated at the PBE level.

a b c (Å): 5.1457 5.1457 5.0604
angles (deg): 90.00 90.00 90.00
Closest atoms and distances in Å follow each position.
Element x y z (fractional)
Ge1 0.0000 0.0000 0.0000  2 Br 2.53, 4 Se 2.57
Se1 0.0000 0.5000 0.0000  2 Ge 2.57
Se2 0.5000 0.0000 0.0000  2 Ge 2.57
Bi1 0.5000 0.5000 0.5000  8 Se 3.61, 4 Br 3.64
Br1 0.0000 0.0000 0.5000  2 Ge 2.53

E above lowest polymorph = 0.0000 eV/atom
formation energy (no corrections) = 0.1084 eV per atom

Below is crystalline TlGe2BiBr8 at its relaxed geometry, with properties calculated at the PBE level.

a b c (Å): 7.3151 6.7751 9.3218
angles (deg): 88.91 86.74 86.03
Closest atoms and distances in Å follow each position.
Element x y z (fractional)
Tl1 0.0000 0.0000 0.5000  6 Br 3.30-3.36
Ge1 0.4518 0.4542 0.7612  2 Br 2.46-2.60
Ge2 0.5482 0.5458 0.2388  2 Br 2.46-2.60
Bi1 0.0000 0.0000 0.0000  6 Br 2.88-2.94
Br1 0.1899 0.7691 0.2144  1 Bi 2.88, 1 Ge 2.95
Br2 0.6792 0.7598 0.0279  1 Ge 2.60
Br3 0.8554 0.2704 0.2232  1 Ge 2.82, 1 Bi 2.90
Br4 0.8101 0.2309 0.7856  1 Bi 2.88, 1 Ge 2.95
Br5 0.3208 0.2402 0.9721  1 Ge 2.60
Br6 0.1446 0.7296 0.7768  1 Ge 2.82, 1 Bi 2.90
Br7 0.6457 0.7250 0.4454  1 Ge 2.46
Br8 0.3543 0.2750 0.5546  1 Ge 2.46

formation energy (no corrections) = -0.6378 eV per atom

Below is crystalline ZnGeBi2Br at its relaxed geometry, with properties calculated at the PBE level.

a b c (Å): 5.7689 4.9433 5.7689
angles (deg): 90.00 90.00 90.00
Closest atoms and distances in Å follow each position.
Element x y z (fractional)
Zn1 0.0000 0.5000 0.0000  2 Br 2.47
Ge1 0.5000 0.5000 0.5000  8 Bi 3.80, 4 Zn 4.08
Bi1 0.0000 0.0000 0.5000  2 Br 2.88
Bi2 0.5000 0.0000 0.0000  2 Br 2.88
Br1 0.0000 0.0000 0.0000  2 Zn 2.47

formation energy (no corrections) = 0.7995 eV per atom

Below is crystalline BiH3Br at its relaxed geometry, with properties calculated at the PBE level.

a b c (Å): 4.0510 4.0510 4.0510
angles (deg): 90.00 90.00 90.00
Closest atoms and distances in Å follow each position.
Element x y z (fractional)
H1 0.0000 0.5000 0.0000  2 Br 2.03
H2 0.0000 0.0000 0.5000  2 Br 2.03
H3 0.5000 0.0000 0.0000  2 Br 2.03
Bi1 0.5000 0.5000 0.5000  12 H 2.86
Br1 0.0000 0.0000 0.0000  6 H 2.03

E above lowest polymorph = 0.6961 eV/atom

Below is crystalline BiH4Br4 at its relaxed geometry, with properties calculated at the PBE level.

a b c (Å): 3.1936 9.4565 9.4565
angles (deg): 88.37 80.28 80.28
Closest atoms and distances in Å follow each position.
Element x y z (fractional)
Bi1 0.5000 0.5000 0.0000  2 Bi 3.19
H1 0.3728 0.3399 0.4146  2 Br 1.70
H2 0.6272 0.6601 0.5854  2 Br 1.70
H3 0.2126 0.9146 0.1601  2 Br 1.70
H4 0.7874 0.0854 0.8399  2 Br 1.70
Br1 0.3324 0.0423 0.7928  2 H 1.70
Br2 0.6676 0.9577 0.2072  2 H 1.70
Br3 0.8748 0.2928 0.4577  2 H 1.70
Br4 0.1252 0.7072 0.5423  2 H 1.70

DFT total energy = -2.54 eV/atom

Below is crystalline BiH3Br at its relaxed geometry, with properties calculated at the PBE level.

a b c (Å): 4.1359 4.1359 4.1359
angles (deg): 90.00 90.00 90.00
Closest atoms and distances in Å follow each position.
Element x y z (fractional)
H1 0.0000 0.5000 0.0000  2 Bi 2.07
H2 0.0000 0.0000 0.5000  2 Bi 2.07
H3 0.5000 0.0000 0.0000  2 Bi 2.07
Bi1 0.0000 0.0000 0.0000  6 H 2.07
Br1 0.5000 0.5000 0.5000  12 H 2.92

E above lowest polymorph = 0.0000 eV/atom

Below is crystalline Bi2HBr at its relaxed geometry, with properties calculated at the PBE level.

a b c (Å): 6.4299 6.4299 6.9660
angles (deg): 62.51 62.51 90.00
Closest atoms and distances in Å follow each position.
Element x y z (fractional)
H1 0.5000 0.5000 0.0000  4 Bi 2.21
H2 0.2500 0.7500 0.5000  4 Bi 2.21
Bi1 0.4934 0.1250 0.2500  2 H 2.21
Bi2 0.2566 0.6250 0.2500  2 H 2.21
Bi3 0.3750 0.5066 0.7500  2 H 2.21
Bi4 0.8750 0.7434 0.7500  2 H 2.21
Br1 0.0000 0.0000 0.0000  4 Bi 3.22
Br2 0.7500 0.2500 0.5000  4 Bi 3.22

E above lowest polymorph = 0.0000 eV/atom

Below is crystalline Bi2HBr at its relaxed geometry, with properties calculated at the PBE level.

a b c (Å): 5.1674 5.1674 5.1674
angles (deg): 60.00 60.00 60.00
Closest atoms and distances in Å follow each position.
Element x y z (fractional)
H1 0.0000 0.0000 0.0000  8 Bi 3.16
Bi1 0.2500 0.2500 0.2500  4 H 3.16, 4 Br 3.16
Bi2 0.7500 0.7500 0.7500  4 H 3.16, 4 Br 3.16
Br1 0.5000 0.5000 0.5000  8 Bi 3.16

E above lowest polymorph = 0.2884 eV/atom